(1)
Entry from Alexandria via LeMat-Bulk: crystalline Ac3Sm2PuTe6 at its relaxed geometry (PBE-GGA).

Calculated values
Space-group type: C2/m (12)
Formation energy from raw total energies in meV per atom: -1393

```
Ac3Sm2PuTe6
1.0
-3.974 2.159 0.535
-4.331 -8.136 0.655
4.443 1.098 9.200
Ac Sm Pu Te
3 2 1 6
direct
0.500 0.500 0.000
0.833 0.167 0.666
0.167 0.833 0.334
0.835 0.670 0.670
0.165 0.330 0.330
0.500 0.000 0.000
0.338 0.907 0.676
0.672 0.572 0.343
0.662 0.093 0.324
0.004 0.238 0.007
0.996 0.762 0.993
0.328 0.428 0.657
```


(2)
Entry from Alexandria via LeMat-Bulk: crystalline Ac3Sm3PuTe8 at its relaxed geometry (PBE-GGA).

Calculated values
Space-group type: R-3m (166)
Formation energy from raw total energies in meV per atom: -1418

```
Ac3Sm3PuTe8
1.0
-8.370 -1.487 -3.133
4.873 -6.868 3.344
-3.287 6.433 5.728
Ac Sm Pu Te
3 3 1 8
direct
0.000 0.000 0.000
0.000 0.500 0.000
0.500 0.500 0.000
0.500 0.000 0.500
0.500 0.500 0.500
0.000 0.500 0.500
0.000 0.000 0.500
0.256 0.512 0.268
0.744 0.488 0.732
0.750 0.500 0.262
0.250 0.500 0.738
0.750 0.012 0.262
0.250 0.988 0.738
0.262 0.012 0.262
0.738 0.988 0.738
```


(3)
Entry from Alexandria via LeMat-Bulk: crystalline AcSmYPu at its relaxed geometry (PBE-GGA).

Calculated values
Space-group type: F-43m (216)
Calculated formation energy in meV/atom: 250

```
AcSmYPu
1.0
5.811 0.000 0.000
2.906 5.033 0.000
2.906 1.678 4.745
Y Ac Sm Pu
1 1 1 1
direct
0.250 0.250 0.250
0.750 0.750 0.750
0.000 0.000 0.000
0.500 0.500 0.500
```


(4)
Entry from Alexandria via LeMat-Bulk: crystalline Ac8PuSn6 at its relaxed geometry (PBE-GGA).

Calculated values
Space-group type: R-3 (148)
Calculated formation energy in meV/atom: -466

```
Ac8PuSn6
1.0
9.878 0.000 0.000
4.939 8.554 0.000
4.939 2.851 6.974
Ac Pu Sn
8 1 6
direct
0.570 0.226 0.308
0.774 0.104 0.692
0.104 0.430 0.692
0.667 0.667 0.000
0.333 0.333 0.000
0.896 0.570 0.308
0.226 0.896 0.308
0.430 0.774 0.692
0.000 0.000 0.000
0.400 0.066 0.800
0.934 0.265 0.200
0.265 0.600 0.200
0.735 0.400 0.800
0.066 0.735 0.800
0.600 0.934 0.200
```


(5)
Entry from Alexandria via LeMat-Bulk: crystalline AcPuSn2 at its relaxed geometry (PBE-GGA).

Calculated values
Space-group type: R-3m (166)
Calculated formation energy in meV/atom: -228

```
AcPuSn2
1.0
-1.503 2.388 -2.686
-3.348 -0.918 -1.768
-6.674 5.281 5.604
Ac Sn Pu
1 2 1
direct
0.500 0.500 0.500
0.745 0.745 0.764
0.255 0.255 0.236
0.000 0.000 0.000
```


(6)
Entry from Alexandria via LeMat-Bulk: crystalline Ac2PuSn3 at its relaxed geometry (PBE-GGA).

Calculated values
Space-group type: Immm (71)
Calculated formation energy in meV/atom: -302

```
Ac2PuSn3
1.0
3.669 0.000 0.000
0.000 6.047 0.000
-1.835 -3.024 9.432
Ac Pu Sn
2 1 3
direct
0.655 0.655 0.310
0.345 0.345 0.690
0.000 0.000 0.000
0.000 0.500 0.000
0.835 0.835 0.669
0.165 0.165 0.331
```


(7)
Entry from Alexandria via LeMat-Bulk: crystalline AcPuSn4 at its relaxed geometry (PBE-GGA).

Calculated values
Space-group type: F-43m (216)
Calculated formation energy in meV/atom: -322

```
AcPuSn4
1.0
-1.227 4.541 -4.121
-3.989 -1.039 -4.702
-5.604 2.776 -0.018
Ac Sn Pu
1 4 1
direct
0.250 0.250 0.250
0.626 0.626 0.123
0.626 0.123 0.626
0.626 0.626 0.626
0.123 0.626 0.626
0.000 0.000 0.000
```


(8)
Entry from Alexandria via LeMat-Bulk: crystalline AcPuSn6 at its relaxed geometry (PBE-GGA).

Calculated values
Space-group type: P4/mmm (123)
Calculated formation energy in meV/atom: -432

```
AcPuSn6
1.0
4.815 0.000 0.000
0.000 4.815 0.000
0.000 0.000 9.514
Ac Pu Sn
1 1 6
direct
0.000 0.000 0.000
0.000 0.000 0.500
0.500 0.500 0.000
0.500 0.500 0.500
0.500 0.000 0.263
0.500 0.000 0.737
0.000 0.500 0.263
0.000 0.500 0.737
```


(9)
Entry from Alexandria via LeMat-Bulk: crystalline Ac4PuSn5 at its relaxed geometry (PBE-GGA).

Calculated values
Space-group type: P4/mmm (123)
Calculated formation energy in meV/atom: -531

```
Ac4PuSn5
1.0
-1.265 3.372 -2.209
-2.730 -2.420 -2.131
-12.844 3.419 12.573
Ac Pu Sn
4 1 5
direct
0.000 0.000 0.188
0.000 0.000 0.396
0.000 0.000 0.604
0.000 0.000 0.812
0.000 0.000 0.000
0.500 0.500 0.083
0.500 0.500 0.292
0.500 0.500 0.500
0.500 0.500 0.708
0.500 0.500 0.917
```


(10)
Entry from Alexandria via LeMat-Bulk: crystalline Ac3PuSn5 at its relaxed geometry (PBE-GGA).

Calculated values
Space-group type: P6_3/mcm (193)
Calculated formation energy in meV/atom: -534

```
Ac3PuSn5
1.0
6.666 0.000 0.000
0.000 9.986 0.000
0.000 -4.993 8.648
Ac Pu Sn
6 2 10
direct
0.750 0.381 0.000
0.750 0.619 0.619
0.750 0.000 0.381
0.250 0.619 0.000
0.250 0.381 0.381
0.250 0.000 0.619
0.000 0.000 0.000
0.500 0.000 0.000
0.000 0.333 0.667
0.500 0.667 0.333
0.000 0.667 0.333
0.500 0.333 0.667
0.750 0.720 0.000
0.750 0.280 0.280
0.750 0.000 0.720
0.250 0.280 0.000
0.250 0.720 0.720
0.250 0.000 0.280
```


(11)
Entry from Alexandria via LeMat-Bulk: crystalline Ac5PuSn5 at its relaxed geometry (PBE-GGA).

Calculated values
Space-group type: C2/m (12)
Calculated formation energy in meV/atom: -362

```
Ac5PuSn5
1.0
6.672 0.000 0.000
-3.336 7.634 -0.035
0.000 -2.906 8.762
Ac Pu Sn
5 1 5
direct
0.678 0.355 0.328
0.664 0.328 0.827
0.000 0.000 0.500
0.336 0.672 0.173
0.322 0.645 0.672
0.000 0.000 0.000
0.845 0.690 0.153
0.843 0.686 0.679
0.500 0.000 0.000
0.157 0.314 0.321
0.155 0.310 0.847
```


(12)
Entry from Alexandria via LeMat-Bulk: crystalline Ac2PuSn2 at its relaxed geometry (PBE-GGA).

Calculated values
Space-group type: Ibam (72)
Calculated formation energy in meV/atom: -407

```
Ac2PuSn2
1.0
-3.577 -1.429 5.459
3.782 -7.597 0.489
4.692 7.146 0.857
Ac Pu Sn
4 2 4
direct
0.860 0.703 0.720
0.140 0.297 0.280
0.640 0.983 0.280
0.360 0.017 0.720
0.750 0.500 0.000
0.250 0.500 0.000
0.383 0.642 0.765
0.617 0.358 0.235
0.117 0.876 0.235
0.883 0.124 0.765
```